Density functional theory data (PBE) for CsZn2GaF8 after structural relaxation.

abc: 5.2997 5.2960 7.6987
angles: 72.24 72.39 71.54
Atoms (fractional coordinates):
F: 0.1992 0.7434 0.1858
F: 0.8008 0.2566 0.8142
F: 0.2546 0.7988 0.8157
F: 0.6481 0.6538 0.4748
F: 0.2350 0.2327 0.9432
F: 0.3519 0.3462 0.5252
F: 0.7454 0.2012 0.1843
F: 0.7650 0.7673 0.0568
Zn: 0.4520 0.4516 0.7269
Zn: 0.5480 0.5484 0.2731
Ga: 0.0000 0.0000 0.0000
Cs: 0.0000 0.0000 0.5000

Computed properties:
Total moment: 0.0 μB per formula unit
Formation energy without anion corrections: -2462 meV/atom

Density functional theory data (PBE) for Cs2ZnGa3F12 after structural relaxation.

abc: 7.4738 7.4738 7.4738
angles: 60.28 60.28 60.28
Atoms (fractional coordinates):
Cs: 0.6261 0.6261 0.6261
Cs: 0.3739 0.3739 0.3739
Zn: 0.0000 0.0000 0.0000
F: 0.0695 0.6863 0.6863
F: 0.9282 0.9282 0.3319
F: 0.9282 0.3319 0.9282
F: 0.9305 0.3137 0.3137
F: 0.3137 0.3137 0.9305
F: 0.6681 0.0718 0.0718
F: 0.3319 0.9282 0.9282
F: 0.0718 0.0718 0.6681
F: 0.6863 0.0695 0.6863
F: 0.3137 0.9305 0.3137
F: 0.6863 0.6863 0.0695
F: 0.0718 0.6681 0.0718
Ga: 0.0000 0.5000 0.0000
Ga: 0.0000 0.0000 0.5000
Ga: 0.5000 0.0000 0.0000

Computed properties:
Total moment: 0.0 μB per formula unit
Formation energy without anion corrections: -2582 meV/atom